# TbTm2I, optimized geometry, DFT PBE
# Fermi-level density of states (states/eV/f.u.): 4.49
# Energy relative to the elements, uncorrected (eV per formula unit): -1.254
# Total moment (μB per formula unit): 0.00
data_TbTm2I
_chemical_formula_sum 'Tb3 Tm6 I3'
_symmetry_space_group_name_H-M 'R -3 m'
_symmetry_Int_Tables_number 166
_symmetry_space_group_name_Hall '-R 3 2"'
_cell_length_a 3.7054
_cell_length_b 3.7054
_cell_length_c 31.0716
_cell_angle_alpha 90.00
_cell_angle_beta 90.00
_cell_angle_gamma 120.00
loop_
_atom_site_label
_atom_site_fract_x
_atom_site_fract_y
_atom_site_fract_z
Tb1 0.0000 0.0000 0.0000
Tm1 0.0000 0.0000 0.2459
I1 0.0000 0.0000 0.5000